No. 1
Ca2CdCu3As4: optimized geometry, PBE.

## Properties
**Total magnetization**: 0.000 μB per formula unit
**Formation enthalpy at 0 K**: -0.473 eV per atom

a b c (Å): 4.3067 4.3067 10.5724
angles (deg): 90.00 90.00 90.00
Sites, in units of the cell vectors:
Ca (0.0000, 0.5000, 0.2337)
Ca (0.5000, 0.0000, 0.7663)
Cd (0.0000, 0.0000, 0.5000)
Cu (0.0000, 0.5000, 0.8783)
Cu (0.5000, 0.0000, 0.1217)
Cu (0.5000, 0.5000, 0.5000)
As (0.0000, 0.0000, 0.0000)
As (0.0000, 0.5000, 0.6527)
As (0.5000, 0.0000, 0.3473)
As (0.5000, 0.5000, 0.0000)



No. 2
Rb2CrTc: optimized geometry, PBE.

## Properties
**Energy above the lowest structure with this stoichiometry**: 0 meV per atom
**Total magnetization**: 1.221 μB per formula unit
**Formation enthalpy at 0 K**: 1.285 eV per atom

a b c (Å): 13.6144 13.6144 4.6014
angles (deg): 90.00 90.00 90.00
Sites, in units of the cell vectors:
Rb (0.0750, 0.7500, 0.1250)
Rb (0.2500, 0.0750, 0.8750)
Rb (0.2500, 0.4250, 0.3750)
Rb (0.4250, 0.7500, 0.6250)
Rb (0.5750, 0.2500, 0.6250)
Rb (0.7500, 0.5750, 0.3750)
Rb (0.7500, 0.9250, 0.8750)
Rb (0.9250, 0.2500, 0.1250)
Cr (0.0000, 0.0000, 0.0000)
Cr (0.0000, 0.5000, 0.2500)
Cr (0.5000, 0.0000, 0.7500)
Cr (0.5000, 0.5000, 0.5000)
Tc (0.0000, 0.0000, 0.5000)
Tc (0.0000, 0.5000, 0.7500)
Tc (0.5000, 0.0000, 0.2500)
Tc (0.5000, 0.5000, 0.0000)